Entry 1:
# Cd3ClF GGA-PBE optimized geometry
data_Cd3ClF
_space_group_name_H-M_alt 'P m -3 m'
_space_group_IT_number 221
_space_group_name_Hall '-P 4 2 3'
_cell_length_a 5.0066
_cell_length_b 5.0066
_cell_length_c 5.0066
_cell_angle_alpha 90.00
_cell_angle_beta 90.00
_cell_angle_gamma 90.00
loop_
_atom_site_label
_atom_site_fract_x
_atom_site_fract_y
_atom_site_fract_z
_atom_site_occupancy
Cd1 0.0000 0.0000 0.5000 1
Cl1 0.5000 0.5000 0.5000 1
F1 0.0000 0.0000 0.0000 1
# Calculated total energy: -1.700 eV/atom
# V: 125 Å³/f.u.
# Energy relative to the lowest polymorph listed for this composition: 0 meV/atom
# Crystal system: cubic
# N(E_F): 0.59 states/eV/atom


Entry 2:
# RbSbWCl2 GGA-PBE optimized geometry
data_RbSbWCl2
_space_group_name_H-M_alt 'P 4/m m m'
_space_group_IT_number 123
_space_group_name_Hall '-P 4 2'
_cell_length_a 4.7717
_cell_length_b 4.7717
_cell_length_c 7.9511
_cell_angle_alpha 90.00
_cell_angle_beta 90.00
_cell_angle_gamma 90.00
loop_
_atom_site_label
_atom_site_fract_x
_atom_site_fract_y
_atom_site_fract_z
_atom_site_occupancy
Rb1 0.0000 0.0000 0.0000 1
Sb1 0.5000 0.5000 0.0000 1
W1 0.0000 0.0000 0.5000 1
Cl1 0.0000 0.5000 0.5000 1
# Calculated total energy: -3.778 eV/atom
# V: 181 Å³/f.u.
# Crystal system: tetragonal
# N(E_F): 0.76 states/eV/atom


These records have uncorrected formation energy values of -0.41 0.57 eV/atom, in the order they appear.